The following is a DFT calculation (PBE) of a relaxed structure of HfMo3Se.

Computed properties:
E: -7.1227 eV/atom
relative energy among the computed polymorphs: 30.01 kcal/mol of atoms
crystal system: cubic
E_form (uncorrected): 47.59 kcal/mol of atoms
space group: No. 221

The structure in POSCAR format:
```
HfMo3Se
1.0
4.8259 0.0000 0.0000
0.0000 4.8259 0.0000
0.0000 0.0000 4.8259
Se Mo Hf
1 3 1
direct
0.5000 0.5000 0.5000
0.0000 0.0000 0.5000
0.0000 0.5000 0.0000
0.5000 0.0000 0.0000
0.0000 0.0000 0.0000
```